# 1
The following is a DFT calculation (PBE) of crystalline MgNb2Bi at its relaxed geometry.

**Energy of formation**: 2.01 eV per formula unit
**Uncorrected energy**: -94.40 eV for the cell shown
**M_tot**: 0.00 μB/atom
**Crystal system**: cubic

a = 6.8791 Å, b = 6.8791 Å, c = 6.8791 Å
α = 90.00°, β = 90.00°, γ = 90.00°
Closest atoms and distances in Å follow each position.
Space group Fm-3m (No. 225)
One atom of each set of equivalent atoms:
Mg  0.0000  0.0000  0.0000 (multiplicity 4)  8 Nb 2.98
Nb  0.2500  0.2500  0.2500 (multiplicity 8)  4 Bi 2.98, 4 Mg 2.98
Bi  0.0000  0.0000  0.5000 (multiplicity 4)  8 Nb 2.98

=====

# 2
The following is a DFT calculation (PBE) of crystalline ErPu2Zn2Ge2 at its relaxed geometry.

**Energy of formation**: -1.44 eV per formula unit
**Uncorrected energy**: -139.34 eV for the cell shown
**M_tot**: 0.00 μB/atom
**Crystal system**: trigonal

a = 4.0693 Å, b = 4.0693 Å, c = 26.9109 Å
α = 90.00°, β = 90.00°, γ = 120.00°
Closest atoms and distances in Å follow each position.
Space group R-3m (No. 166, hexagonal axes)
One atom of each set of equivalent atoms:
Er  0.0000  0.0000  0.0000 (multiplicity 3)  6 Ge 2.99, 6 Zn 3.19
Pu  0.0000  0.0000  0.1519 (multiplicity 6)  3 Pu 2.48
Zn  0.0000  0.0000  0.4134 (multiplicity 6)  3 Ge 2.37
Ge  0.0000  0.0000  0.2648 (multiplicity 6)  3 Zn 2.37

=====

# 3
The following is a DFT calculation (PBE) of crystalline Mn3VPt12 at its relaxed geometry.

**Energy of formation**: -6.38 eV per formula unit
**Uncorrected energy**: -115.49 eV for the cell shown
**M_tot**: 0.87 μB/atom
**Crystal system**: tetragonal

a = 3.9276 Å, b = 3.9276 Å, c = 15.7087 Å
α = 90.00°, β = 90.00°, γ = 90.00°
Closest atoms and distances in Å follow each position.
Space group P4/mmm (No. 123)
One atom of each set of equivalent atoms:
Mn  0.0000  0.0000  0.0000 (multiplicity 1)  12 Pt 2.78
Mn  0.0000  0.0000  0.2491 (multiplicity 2)  12 Pt 2.76-2.82
V  0.0000  0.0000  0.5000 (multiplicity 1)  12 Pt 2.74-2.78
Pt  0.0000  0.5000  0.1253 (multiplicity 4)  4 Mn 2.76-2.78, 8 Pt 2.78-2.79
Pt  0.0000  0.5000  0.3780 (multiplicity 4)  8 Pt 2.74-2.79, 2 V 2.74, 2 Mn 2.82
Pt  0.5000  0.5000  0.0000 (multiplicity 1)  4 Mn 2.78, 8 Pt 2.78
Pt  0.5000  0.5000  0.2514 (multiplicity 2)  4 Mn 2.78, 8 Pt 2.79
Pt  0.5000  0.5000  0.5000 (multiplicity 1)  8 Pt 2.74, 4 V 2.78

=====

# 4
The following is a DFT calculation (PBE) of crystalline Ti3Sb2H at its relaxed geometry.

**Uncorrected energy**: -151.97 eV for the cell shown
**M_tot**: 0.00 μB/atom
**Crystal system**: orthorhombic

a = 6.9614 Å, b = 3.8237 Å, c = 15.1684 Å
α = 90.00°, β = 90.00°, γ = 90.00°
Closest atoms and distances in Å follow each position.
Space group Pnma (No. 62)
One atom of each set of equivalent atoms:
Ti  0.0435  0.2500  0.1260 (multiplicity 4)  2 H 2.04
Ti  0.1306  0.2500  0.5647 (multiplicity 4)  1 H 1.97
Ti  0.2148  0.7500  0.2676 (multiplicity 4)  1 H 1.99
Sb  0.0525  0.7500  0.6930 (multiplicity 4)  8 Ti 2.73-2.99, 2 H 2.97
Sb  0.2262  0.2500  0.9500 (multiplicity 4)  7 Ti 2.77-2.96, 1 H 2.90
H  0.1407  0.7500  0.1406 (multiplicity 4)  4 Ti 1.97-2.04

=====

# 5
The following is a DFT calculation (PBE) of crystalline TmCrS2 at its relaxed geometry.

**ΔE_f (raw)**: -4.70 eV/f.u.
**Uncorrected energy**: -81.16 eV for the cell shown
**M_tot**: 1.07 μB/atom
**Crystal system**: trigonal

a = 3.8501 Å, b = 3.8501 Å, c = 17.6587 Å
α = 90.00°, β = 90.00°, γ = 120.00°
Closest atoms and distances in Å follow each position.
Space group R-3m (No. 166, hexagonal axes)
One atom of each set of equivalent atoms:
Tm  0.0000  0.0000  0.0000 (multiplicity 3)  6 S 2.71
Cr  0.0000  0.0000  0.5000 (multiplicity 3)  6 S 2.62
S  0.0000  0.0000  0.2457 (multiplicity 6)  3 Cr 2.62, 3 Tm 2.71

=====

# 6
The following is a DFT calculation (PBE) of crystalline Ac12Ir5Pb3 at its relaxed geometry.

**Energy of formation**: -7.69 eV per formula unit
**Uncorrected energy**: -899.37 eV for the cell shown
**M_tot**: 0.00 μB/atom
**Crystal system**: cubic

a = 18.5857 Å, b = 18.5857 Å, c = 18.5857 Å
α = 90.00°, β = 90.00°, γ = 90.00°
Closest atoms and distances in Å follow each position.
Space group Ia-3d (No. 230)
One atom of each set of equivalent atoms:
Ac  0.0286  0.0557  0.6484 (multiplicity 96)  2 Ir 2.80-2.99
Ir  0.0000  0.0000  0.0000 (multiplicity 16)  6 Ac 2.99
Ir  0.0000  0.2500  0.3750 (multiplicity 24)  4 Ac 2.80
Pb  0.0000  0.2500  0.1250 (multiplicity 24)  8 Ac 3.58-3.68

=====

# 7
The following is a DFT calculation (PBE) of crystalline B2C at its relaxed geometry.

**Energy of formation**: 1.37 eV per formula unit
**Uncorrected energy**: -169.68 eV for the cell shown
**M_tot**: 0.00 μB/atom
**Crystal system**: monoclinic

a = 13.8582 Å, b = 2.7485 Å, c = 4.8909 Å
α = 90.00°, β = 108.89°, γ = 90.00°
Closest atoms and distances in Å follow each position.
Space group Cm (No. 8)
One atom of each set of equivalent atoms:
B  0.0000  0.0000  0.0000 (multiplicity 2)  1 C 1.56, 1 B 1.65
B  0.0045  0.5000  0.2553 (multiplicity 2)  1 C 1.84, 6 B 1.84-1.97
B  0.1298  0.0000  0.5666 (multiplicity 2)  3 C 1.57-1.64
B  0.1635  0.0000  0.0486 (multiplicity 2)  3 C 1.57-1.66
B  0.3252  0.5000  0.3809 (multiplicity 2)  3 C 1.61-1.66
B  0.3936  0.0000  0.8831 (multiplicity 2)  1 C 1.56
B  0.4036  0.5000  0.1269 (multiplicity 2)  3 B 1.65-1.79
B  0.4929  0.0000  0.6237 (multiplicity 2)  3 C 1.66
C  0.0561  0.0000  0.7690 (multiplicity 2)  5 B 1.56-1.66
C  0.1435  0.5000  0.4305 (multiplicity 2)  2 B 1.57, 1 C 1.57
C  0.2013  0.5000  0.2028 (multiplicity 2)  1 C 1.57, 3 B 1.57-1.66
C  0.3669  0.0000  0.5487 (multiplicity 2)  4 B 1.56-1.66

=====

# 8
The following is a DFT calculation (PBE) of crystalline YEr2Te4 at its relaxed geometry.

**ΔE_f (raw)**: -9.29 eV/f.u.
**Uncorrected energy**: -149.80 eV for the cell shown
**M_tot**: 0.00 μB/atom
**Crystal system**: orthorhombic

a = 4.2248 Å, b = 14.2374 Å, c = 14.8639 Å
α = 90.00°, β = 90.00°, γ = 90.00°
Closest atoms and distances in Å follow each position.
Space group Cmcm (No. 63)
One atom of each set of equivalent atoms:
Y  0.0000  0.1285  0.2500 (multiplicity 4)  6 Te 3.11-3.15
Er  0.0000  0.3689  0.0696 (multiplicity 8)  6 Te 3.00-3.12
Te  0.0000  0.0000  0.0000 (multiplicity 4)  4 Er 3.00
Te  0.0000  0.2777  0.6210 (multiplicity 8)  3 Er 3.07-3.12, 2 Y 3.15
Te  0.0000  0.4683  0.2500 (multiplicity 4)  2 Er 3.03, 2 Y 3.11

=====

# 9
The following is a DFT calculation (PBE) of crystalline Er7Cd6Hg16 at its relaxed geometry.

**Energy of formation**: -8.01 eV per formula unit
**Uncorrected energy**: -201.08 eV for the cell shown
**M_tot**: 0.00 μB/atom
**Crystal system**: cubic

a = 14.2259 Å, b = 14.2259 Å, c = 14.2259 Å
α = 90.00°, β = 90.00°, γ = 90.00°
Closest atoms and distances in Å follow each position.
Space group Fm-3m (No. 225)
One atom of each set of equivalent atoms:
Er  0.0000  0.0000  0.0000 (multiplicity 4)  8 Hg 3.17
Er  0.0000  0.2500  0.2500 (multiplicity 24)  8 Hg 3.05-3.08
Cd  0.0000  0.0000  0.2494 (multiplicity 24)  8 Hg 3.08-3.11
Hg  0.1248  0.1248  0.3752 (multiplicity 32)  3 Er 3.08, 3 Cd 3.08
Hg  0.1285  0.1285  0.1285 (multiplicity 32)  4 Er 3.05-3.17, 3 Cd 3.11

=====

# 10
The following is a DFT calculation (PBE) of crystalline Sb2RuPtI at its relaxed geometry.

**ΔE_f (raw)**: 3.98 eV/f.u.
**Uncorrected energy**: -21.13 eV for the cell shown
**M_tot**: 0.00 μB/atom
**Crystal system**: tetragonal

a = 4.9977 Å, b = 4.9977 Å, c = 5.4105 Å
α = 90.00°, β = 90.00°, γ = 90.00°
Closest atoms and distances in Å follow each position.
Space group P4/mmm (No. 123)
One atom of each set of equivalent atoms:
Sb  0.0000  0.5000  0.0000 (multiplicity 2)  2 Ru 2.50
Ru  0.0000  0.0000  0.0000 (multiplicity 1)  4 Sb 2.50, 2 I 2.71
Pt  0.5000  0.5000  0.5000 (multiplicity 1)  4 I 3.53, 8 Sb 3.68
I  0.0000  0.0000  0.5000 (multiplicity 1)  2 Ru 2.71

=====

# 11
The following is a DFT calculation (PBE) of crystalline Cu2TeSeS2 at its relaxed geometry.

**ΔE_f (raw)**: -0.46 eV/f.u.
**Uncorrected energy**: -94.14 eV for the cell shown
**M_tot**: 0.00 μB/atom
**Crystal system**: orthorhombic

a = 11.3355 Å, b = 7.6549 Å, c = 6.2410 Å
α = 90.00°, β = 90.00°, γ = 90.00°
Closest atoms and distances in Å follow each position.
Space group Cmc2_1 (No. 36)
One atom of each set of equivalent atoms:
Cu  0.1842  0.1461  0.0000 (multiplicity 8)  3 S 2.30-2.33, 1 Se 2.43
Te  0.0000  0.2814  0.4601 (multiplicity 4)  2 S 2.50, 1 Se 2.59
Se  0.0000  0.2728  0.8749 (multiplicity 4)  2 Cu 2.43, 1 Te 2.59
S  0.1913  0.1368  0.3686 (multiplicity 8)  3 Cu 2.30-2.33, 1 Te 2.50

=====

# 12
The following is a DFT calculation (PBE) of crystalline Pm6Nd2Sm3Pb at its relaxed geometry.

**Energy of formation**: -0.76 eV per formula unit
**Uncorrected energy**: -113.32 eV for the cell shown
**M_tot**: 0.00 μB/atom
**Crystal system**: monoclinic

a = 6.2427 Å, b = 10.8346 Å, c = 12.0104 Å
α = 90.00°, β = 100.12°, γ = 90.00°
Closest atoms and distances in Å follow each position.
Space group C2/m (No. 12)
One atom of each set of equivalent atoms:
Pm  0.2414  0.0000  0.2499 (multiplicity 4)  6 Pm 3.51-3.66, 1 Pb 3.59, 3 Sm 3.61-3.65, 2 Nd 3.63
Pm  0.2450  0.1623  0.7482 (multiplicity 8)  6 Pm 3.51-3.66, 1 Pb 3.57, 3 Sm 3.62-3.65, 2 Nd 3.62
Nd  0.0000  0.3341  0.5000 (multiplicity 4)  3 Nd 3.59-3.61, 3 Pb 3.60-3.62, 6 Pm 3.62-3.63
Sm  0.0000  0.1688  0.0000 (multiplicity 4)  6 Sm 3.58-3.66, 6 Pm 3.61-3.65
Sm  0.0000  0.5000  0.0000 (multiplicity 2)  6 Sm 3.59-3.62, 6 Pm 3.62-3.65
Pb  0.0000  0.0000  0.5000 (multiplicity 2)  6 Pm 3.57-3.59, 6 Nd 3.60-3.62

=====

# 13
The following is a DFT calculation (PBE) of crystalline TaCd at its relaxed geometry.

**Energy of formation**: 0.67 eV per formula unit
**Uncorrected energy**: -72.60 eV for the cell shown
**M_tot**: 0.00 μB/atom
**Crystal system**: hexagonal

a = 9.8327 Å, b = 9.8327 Å, c = 2.9508 Å
α = 90.00°, β = 90.00°, γ = 120.00°
Closest atoms and distances in Å follow each position.
Space group P6_3/m (No. 176)
One atom of each set of equivalent atoms:
Ta  0.1387  0.5657  0.2500 (multiplicity 6)  6 Ta 2.79-2.95, 4 Cd 3.03-3.06
Cd  0.1436  0.8375  0.7500 (multiplicity 6)  6 Cd 2.95-3.00, 4 Ta 3.03-3.06

=====

# 14
The following is a DFT calculation (PBE) of crystalline Pr2Pa at its relaxed geometry.

**Energy of formation**: 1.30 eV per formula unit
**Uncorrected energy**: -35.50 eV for the cell shown
**M_tot**: 0.00 μB/atom
**Crystal system**: monoclinic

a = 5.8434 Å, b = 5.8568 Å, c = 6.2104 Å
α = 90.00°, β = 117.97°, γ = 90.00°
Closest atoms and distances in Å follow each position.
Space group C2/m (No. 12)
One atom of each set of equivalent atoms:
Pr  0.1595  0.0000  0.3161 (multiplicity 4)  5 Pa 3.39-3.75, 5 Pr 3.47-3.56
Pa  0.0000  0.5000  0.0000 (multiplicity 2)  10 Pr 3.39-3.75

=====

# 15
The following is a DFT calculation (PBE) of crystalline PmTc2B4 at its relaxed geometry.

**Energy of formation**: -2.42 eV per formula unit
**Uncorrected energy**: -109.22 eV for the cell shown
**M_tot**: 0.00 μB/atom
**Crystal system**: orthorhombic

a = 3.0848 Å, b = 3.5655 Å, c = 14.7064 Å
α = 90.00°, β = 90.00°, γ = 90.00°
Closest atoms and distances in Å follow each position.
Space group Immm (No. 71)
One atom of each set of equivalent atoms:
Pm  0.0000  0.0000  0.0000 (multiplicity 2)  12 B 2.82-2.92, 2 Pm 3.08
Tc  0.0000  0.5000  0.3102 (multiplicity 4)  7 B 2.17-2.41
B  0.0000  0.0000  0.3944 (multiplicity 4)  2 B 1.72
B  0.0000  0.5000  0.1572 (multiplicity 4)  2 B 1.72

=====

# 16
The following is a DFT calculation (PBE) of crystalline SrAcAu4 at its relaxed geometry.

**Energy of formation**: -4.92 eV per formula unit
**Uncorrected energy**: -23.82 eV for the cell shown
**M_tot**: 0.00 μB/atom
**Crystal system**: orthorhombic

a = 3.9554 Å, b = 4.9730 Å, c = 8.1166 Å
α = 90.00°, β = 90.00°, γ = 90.00°
Closest atoms and distances in Å follow each position.
Space group Pmmm (No. 47)
One atom of each set of equivalent atoms:
Sr  0.0000  0.0000  0.0000 (multiplicity 1)  12 Au 3.32-3.47
Ac  0.0000  0.5000  0.5000 (multiplicity 1)  12 Au 3.32-3.47
Au  0.5000  0.0000  0.3284 (multiplicity 2)  3 Au 2.79
Au  0.5000  0.5000  0.1717 (multiplicity 2)  3 Au 2.79

=====

# 17
The following is a DFT calculation (PBE) of crystalline Al2Fe2Ni15 at its relaxed geometry.

**Energy of formation**: 0.21 eV per formula unit
**Uncorrected energy**: -332.75 eV for the cell shown
**M_tot**: 0.66 μB/atom
**Crystal system**: trigonal

a = 7.9986 Å, b = 7.9986 Å, c = 12.2672 Å
α = 90.00°, β = 90.00°, γ = 120.00°
Closest atoms and distances in Å follow each position.
Space group R-3m (No. 166, hexagonal axes)
One atom of each set of equivalent atoms:
Al  0.0000  0.0000  0.1610 (multiplicity 6)  9 Ni 2.73-2.95, 1 Fe 3.01
Fe  0.0000  0.0000  0.4062 (multiplicity 6)  1 Fe 2.30, 6 Ni 2.48-2.54
Ni  0.0000  0.3186  0.5000 (multiplicity 18)  8 Ni 2.41-2.55
Ni  0.0000  0.5000  0.0000 (multiplicity 9)  8 Ni 2.32-2.41, 2 Fe 2.48
Ni  0.0036  0.5018  0.6582 (multiplicity 18)  8 Ni 2.29-2.50, 1 Fe 2.54

=====

# 18
The following is a DFT calculation (PBE) of crystalline DySc12Cd3 at its relaxed geometry.

**Energy of formation**: -1.02 eV per formula unit
**Uncorrected energy**: -84.35 eV for the cell shown
**M_tot**: 0.10 μB/atom
**Crystal system**: tetragonal

a = 4.5390 Å, b = 4.5390 Å, c = 18.4777 Å
α = 90.00°, β = 90.00°, γ = 90.00°
Closest atoms and distances in Å follow each position.
Space group P4/mmm (No. 123)
One atom of each set of equivalent atoms:
Dy  0.0000  0.0000  0.0000 (multiplicity 1)  12 Sc 3.21-3.34
Sc  0.0000  0.5000  0.1324 (multiplicity 4)  8 Sc 3.21-3.34, 2 Cd 3.24, 2 Dy 3.34
Sc  0.0000  0.5000  0.3781 (multiplicity 4)  4 Cd 3.18-3.20, 8 Sc 3.19-3.21
Sc  0.5000  0.5000  0.0000 (multiplicity 1)  4 Dy 3.21, 8 Sc 3.34
Sc  0.5000  0.5000  0.2571 (multiplicity 2)  8 Sc 3.19-3.23, 4 Cd 3.21
Sc  0.5000  0.5000  0.5000 (multiplicity 1)  8 Sc 3.20, 4 Cd 3.21
Cd  0.0000  0.0000  0.2577 (multiplicity 2)  12 Sc 3.18-3.24
Cd  0.0000  0.0000  0.5000 (multiplicity 1)  12 Sc 3.20-3.21